Record 1
Here is a relaxed structure of BeHgGe2Pt from Alexandria via LeMat-Bulk. Energies are from PBE.

Values from the calculation:
The energy of formation comes out at 1.15 eV/atom. The value obtained for the total magnetic moment is 0.000 μB/atom.

Unit cell a=5.0960 b=4.3319 c=5.0960 alpha=90.00 beta=90.00 gamma=90.00
Last column: nearest neighbours and their distance in Å.
Fractional positions:
Hg  0.0000  0.0000  0.0000  2 Be 2.17
Be  0.0000  0.5000  0.0000  2 Hg 2.17
Ge  0.5000  0.0000  0.0000  2 Hg 2.55
Ge  0.0000  0.0000  0.5000  2 Hg 2.55
Pt  0.5000  0.5000  0.5000  8 Ge 3.34, 4 Be 3.60



Record 2
Here is a relaxed structure of SrY2Cu from Alexandria via LeMat-Bulk. Energies are from PBE.

Values from the calculation:
The energy of formation comes out at 0.10 eV/atom. The value obtained for the total magnetic moment is 0.000 μB/atom.

Unit cell a=10.4313 b=10.4313 c=10.4313 alpha=21.55 beta=21.55 gamma=21.55
Last column: nearest neighbours and their distance in Å.
Fractional positions:
Y  0.0271  0.0271  0.0271  3 Cu 2.83
Cu  0.7500  0.7500  0.7500  6 Y 2.83
Sr  0.2500  0.2500  0.2500  6 Sr 3.90, 6 Y 4.06
Y  0.4729  0.4729  0.4729  3 Cu 2.83



Record 3
Here is a relaxed structure of Tb3SmEr4 from Alexandria via LeMat-Bulk. Energies are from PBE.

Values from the calculation:
The energy of formation comes out at 0.21 eV/atom. The value obtained for the total magnetic moment is 0.000 μB/atom.

Unit cell a=5.6166 b=3.5282 c=13.3714 alpha=89.97 beta=102.12 gamma=90.00
Last column: nearest neighbours and their distance in Å.
Fractional positions:
Er  0.7236  0.5009  0.4472  3 Er 3.11-3.13
Tb  0.8437  0.9996  0.6875  2 Tb 3.53, 10 Er 3.58-3.76
Tb  0.0000  0.5000  0.0000  4 Sm 3.32, 2 Tb 3.53
Er  0.6046  0.4998  0.2092  1 Er 3.11, 2 Sm 3.25-3.26
Sm  0.5000  0.0000  0.0000  4 Er 3.25-3.26, 4 Tb 3.32, 2 Sm 3.53
Er  0.2764  0.4991  0.5528  3 Er 3.11-3.13
Tb  0.1563  0.0004  0.3125  2 Tb 3.53, 10 Er 3.58-3.76
Er  0.3954  0.5002  0.7908  1 Er 3.11, 2 Sm 3.25-3.26



Record 4
Here is a relaxed structure of LaAg2Mo from Alexandria via LeMat-Bulk. Energies are from PBE.

Values from the calculation:
The energy of formation comes out at 0.42 eV/atom. The value obtained for the total magnetic moment is 0.000 μB/atom.

Unit cell a=6.5753 b=5.4385 c=3.0243 alpha=90.05 beta=62.53 gamma=118.44
Last column: nearest neighbours and their distance in Å.
Fractional positions:
La  0.0000  0.5000  0.5000  2 Mo 2.92, 2 La 3.02, 8 Ag 3.11
Ag  0.0000  0.0000  0.0000  4 Ag 2.92-3.02, 4 Mo 3.11, 4 La 3.11
Mo  0.5000  0.5000  0.0000  2 La 2.92, 2 Mo 3.02, 8 Ag 3.11
Ag  0.5000  0.0000  0.5000  4 Ag 2.92-3.02, 4 La 3.11, 4 Mo 3.11



Record 5
Here is a relaxed structure of ThPaInHg from Alexandria via LeMat-Bulk. Energies are from PBE.

Values from the calculation:
The energy of formation comes out at 0.05 eV/atom. The value obtained for the total magnetic moment is 0.378 μB/atom.

Unit cell a=5.3810 b=5.3810 c=5.3810 alpha=60.00 beta=60.00 gamma=60.00
Last column: nearest neighbours and their distance in Å.
Fractional positions:
Pa  0.5000  0.5000  0.5000  4 Hg 3.30, 4 In 3.30
In  0.2500  0.2500  0.2500  4 Pa 3.30, 4 Th 3.30
Th  0.0000  0.0000  0.0000  4 In 3.30, 4 Hg 3.30
Hg  0.7500  0.7500  0.7500  4 Th 3.30, 4 Pa 3.30



Record 6
Here is a relaxed structure of Ti5Ge2P2 from Alexandria via LeMat-Bulk. Energies are from PBE.

Values from the calculation:
The energy of formation comes out at -0.92 eV/atom. The value obtained for the total magnetic moment is 0.000 μB/atom.

Unit cell a=6.6927 b=6.5855 c=7.1631 alpha=90.00 beta=62.15 gamma=90.00
Last column: nearest neighbours and their distance in Å.
Fractional positions:
Ti  0.0000  0.0000  0.0000  4 P 2.58-2.61, 2 Ge 2.64
Ti  0.2878  0.6643  0.7464  3 P 2.50-2.55, 3 Ge 2.59-2.72
Ge  0.7080  0.5000  0.5839  7 Ti 2.59-2.72
Ti  0.7122  0.3357  0.2536  3 P 2.50-2.55, 3 Ge 2.59-2.72
Ti  0.9658  0.3357  0.7464  3 P 2.50-2.55, 3 Ge 2.59-2.72
Ti  0.5000  0.5000  0.0000  4 P 2.58-2.61, 2 Ge 2.64
P  0.3665  0.8668  0.0000  8 Ti 2.50-2.61, 1 P 2.50
Ge  0.7920  0.0000  0.4161  7 Ti 2.59-2.72
Ti  0.0342  0.6643  0.2536  3 P 2.50-2.55, 3 Ge 2.59-2.72
Ti  0.4658  0.1643  0.7464  3 P 2.50-2.55, 3 Ge 2.59-2.72
Ge  0.2080  0.0000  0.5839  7 Ti 2.59-2.72
Ti  0.7878  0.8357  0.7464  3 P 2.50-2.55, 3 Ge 2.59-2.72
Ti  0.2122  0.1643  0.2536  3 P 2.50-2.55, 3 Ge 2.59-2.72
Ge  0.2920  0.5000  0.4161  7 Ti 2.59-2.72
P  0.6335  0.1332  0.0000  8 Ti 2.50-2.61, 1 P 2.50
P  0.8665  0.6332  0.0000  8 Ti 2.50-2.61, 1 P 2.50
P  0.1335  0.3668  0.0000  8 Ti 2.50-2.61, 1 P 2.50
Ti  0.5342  0.8357  0.2536  3 P 2.50-2.55, 3 Ge 2.59-2.72



Record 7
Here is a relaxed structure of LaAlCu2Pd4 from Alexandria via LeMat-Bulk. Energies are from PBE.

Values from the calculation:
The energy of formation comes out at -0.56 eV/atom. The value obtained for the total magnetic moment is 0.000 μB/atom.

Unit cell a=4.3543 b=4.3543 c=8.6516 alpha=75.42 beta=75.42 gamma=60.00
Last column: nearest neighbours and their distance in Å.
Fractional positions:
Pd  0.4011  0.4011  0.7966  1 Al 2.46, 3 Cu 2.58
Pd  0.8679  0.8679  0.3963  3 Al 2.66, 4 Cu 2.71-2.72
Cu  0.7585  0.7585  0.7245  7 Pd 2.58-2.72
Cu  0.2415  0.2415  0.2755  7 Pd 2.58-2.72
Al  0.5000  0.5000  0.5000  8 Pd 2.46-2.66
Pd  0.5989  0.5989  0.2034  1 Al 2.46, 3 Cu 2.58
La  0.0000  0.0000  0.0000  8 Pd 3.03-3.28
Pd  0.1321  0.1321  0.6037  3 Al 2.66, 4 Cu 2.71-2.72



Record 8
Here is a relaxed structure of CuRe2BRh from Alexandria via LeMat-Bulk. Energies are from PBE.

Values from the calculation:
The energy of formation comes out at 2.70 eV/atom. The value obtained for the total magnetic moment is 0.580 μB/atom.

Unit cell a=4.6728 b=4.5880 c=4.6728 alpha=90.00 beta=90.00 gamma=90.00
Last column: nearest neighbours and their distance in Å.
Fractional positions:
Re  0.5000  0.0000  0.0000  2 Rh 2.34
Re  0.0000  0.0000  0.5000  2 Rh 2.34
B  0.5000  0.5000  0.5000  8 Re 3.27, 4 Cu 3.30
Rh  0.0000  0.0000  0.0000  2 Cu 2.29, 4 Re 2.34
Cu  0.0000  0.5000  0.0000  2 Rh 2.29



Record 9
Here is a relaxed structure of LaIn2Ir from Alexandria via LeMat-Bulk. Energies are from PBE.

Values from the calculation:
The energy of formation comes out at -0.31 eV/atom. The value obtained for the total magnetic moment is 0.000 μB/atom.

Unit cell a=6.4122 b=6.4122 c=6.4122 alpha=149.77 beta=133.16 gamma=56.76
Last column: nearest neighbours and their distance in Å.
Fractional positions:
In  0.5432  0.5432  0.0000  2 Ir 2.87, 4 In 3.20
Ir  0.7500  0.2500  0.5000  4 In 2.87, 4 La 3.05
La  0.2500  0.7500  0.5000  4 Ir 3.05, 2 La 3.34
In  0.9568  0.9568  0.0000  2 Ir 2.87, 4 In 3.20



Record 10
Here is a relaxed structure of TcMo3Ru from Alexandria via LeMat-Bulk. Energies are from PBE.

Values from the calculation:
The energy of formation comes out at 1.80 eV/atom. The value obtained for the total magnetic moment is 0.136 μB/atom.

Unit cell a=4.6112 b=4.6112 c=4.6112 alpha=90.00 beta=90.00 gamma=90.00
Last column: nearest neighbours and their distance in Å.
Fractional positions:
Mo  0.5000  0.0000  0.0000  2 Tc 2.31
Ru  0.5000  0.5000  0.5000  12 Mo 3.26
Mo  0.0000  0.5000  0.0000  2 Tc 2.31
Mo  0.0000  0.0000  0.5000  2 Tc 2.31
Tc  0.0000  0.0000  0.0000  6 Mo 2.31



Record 11
Here is a relaxed structure of Mg2Co5B2Mo from Alexandria via LeMat-Bulk. Energies are from PBE.

Values from the calculation:
The energy of formation comes out at -0.17 eV/atom. The value obtained for the total magnetic moment is 0.005 μB/atom.

Unit cell a=2.7520 b=9.0265 c=9.0265 alpha=90.00 beta=90.00 gamma=90.00
Last column: nearest neighbours and their distance in Å.
Fractional positions:
Co  0.5000  0.5000  0.0000  4 B 2.04
Co  0.5000  0.0687  0.7738  2 B 2.02
B  0.0000  0.3823  0.1177  6 Co 2.02-2.04
Mo  0.0000  0.5000  0.5000  8 Co 2.54, 2 Mo 2.75
B  0.0000  0.8823  0.3823  6 Co 2.02-2.04
Co  0.5000  0.2262  0.0687  2 B 2.02
Co  0.5000  0.7738  0.9313  2 B 2.02
Co  0.5000  0.4313  0.2738  2 B 2.02
Co  0.5000  0.7262  0.4313  2 B 2.02
B  0.0000  0.6177  0.8823  6 Co 2.02-2.04
Mg  0.0000  0.6783  0.1783  3 B 2.60-2.73, 10 Co 2.66-2.76, 2 Mg 2.75
Co  0.5000  0.9313  0.2262  2 B 2.02
B  0.0000  0.1177  0.6177  6 Co 2.02-2.04
Co  0.5000  0.2738  0.5687  2 B 2.02
Mg  0.0000  0.1783  0.3217  3 B 2.60-2.73, 10 Co 2.66-2.76, 2 Mg 2.75
Co  0.5000  0.0000  0.5000  4 B 2.04
Co  0.5000  0.5687  0.7262  2 B 2.02
Mo  0.0000  0.0000  0.0000  8 Co 2.54, 2 Mo 2.75
Mg  0.0000  0.8217  0.6783  3 B 2.60-2.73, 10 Co 2.66-2.76, 2 Mg 2.75
Mg  0.0000  0.3217  0.8217  3 B 2.60-2.73, 10 Co 2.66-2.76, 2 Mg 2.75



Record 12
Here is a relaxed structure of BeRe2W from Alexandria via LeMat-Bulk. Energies are from PBE.

Values from the calculation:
The energy of formation comes out at 0.09 eV/atom. The value obtained for the total magnetic moment is 0.000 μB/atom.

Unit cell a=5.0046 b=5.0046 c=4.2480 alpha=64.95 beta=64.95 gamma=35.96
Last column: nearest neighbours and their distance in Å.
Fractional positions:
W  0.5011  0.5011  0.4997  6 Re 2.63-2.65, 2 Be 2.66
Be  0.2547  0.2547  0.2439  6 Re 2.57-2.63, 2 W 2.66
Re  0.9961  0.9961  0.0048  2 Be 2.57, 4 W 2.63, 2 Re 2.65
Re  0.7481  0.7481  0.7516  4 Be 2.62-2.63, 2 Re 2.65, 2 W 2.65